VASP calculation (GGA-PBEsol) on a relaxed structure of SrLi2Pb2.

Cell: 4.5878 4.5878 7.0740 Å, 108.92 108.92 90.00°
Closest atoms and distances in Å follow each position.
Fractional coordinates of all 5 atoms:
Sr (0.0000, 0.0000, 0.0000)  8 Pb 3.56, 8 Li 3.89
Li (0.2500, 0.7500, 0.5000)  4 Pb 2.84
Pb (0.6168, 0.6168, 0.2335)  4 Li 2.84, 1 Pb 2.94
Pb (0.3832, 0.3832, 0.7665)  4 Li 2.84, 1 Pb 2.94
Li (0.7500, 0.2500, 0.5000)  4 Pb 2.84

Calculated values
crystal system	tetragonal
raw total energy	-15.720	eV for the cell shown